Computed, not measured: an optimized crystal structure of K2NdCrO4 at the GGA+U level of DFT.

The calculation puts the density of states at the Fermi level at 0.000 states/eV/atom. Its magnetic moment is 3.00 μB per formula unit. As for the uncorrected energy: -6.3696 eV/atom.

Cell lengths 5.8278, 3.4169, 6.5192 Å; angles 90.00, 107.87, 90.00 degrees
Atoms (fractional coordinates):
K 0.0000 0.0000 0.0000
K 0.5000 0.5000 0.0000
Nd 0.0000 0.5000 0.5000
Cr 0.5000 0.0000 0.5000
O 0.2611 0.0000 0.6860
O 0.2989 0.5000 0.3209
O 0.7011 0.5000 0.6791
O 0.7389 0.0000 0.3140